1.
Compound: ZrSbAs2Br
Source: Alexandria
Functional: PBE
Structure: optimized geometry

Computed properties:
Energy above the most stable polymorph in this dataset (kcal/mol of atoms): 15.32
ΔE_f (raw) (eV/atom): 0.75
Electronic total energy (eV/atom): -3.979

The structure in CIF format:
```
data_ZrSbAs2Br
_cell_length_a 5.246
_cell_length_b 5.246
_cell_length_c 5.258
_cell_angle_alpha 90.00
_cell_angle_beta 90.00
_cell_angle_gamma 90.00
_space_group_name_H-M_alt 'P 4/m m m'
_space_group_IT_number 123
_space_group_name_Hall '-P 4 2'
loop_
_atom_site_label
_atom_site_fract_x
_atom_site_fract_y
_atom_site_fract_z
Zr1 0.000 0.000 0.000
Sb1 0.500 0.500 0.500
As1 0.000 0.500 0.500
Br1 0.500 0.500 0.000
```

=====

2.
Compound: ZrScRh4
Source: Alexandria
Functional: PBE
Structure: optimized geometry

Computed properties:
E_form (kJ/mol of formula units): -115
Energy above the most stable polymorph in this dataset (kcal/mol of atoms): 10.53
Electronic total energy (eV/atom): -7.580

The structure in CIF format:
```
data_ZrScRh4
_cell_length_a 4.227
_cell_length_b 4.227
_cell_length_c 6.270
_cell_angle_alpha 90.00
_cell_angle_beta 90.00
_cell_angle_gamma 90.00
_space_group_name_H-M_alt 'P 4/m m m'
_space_group_IT_number 123
_space_group_name_Hall '-P 4 2'
loop_
_atom_site_label
_atom_site_fract_x
_atom_site_fract_y
_atom_site_fract_z
Zr1 0.000 0.000 0.000
Sc1 0.500 0.500 0.500
Rh1 0.000 0.500 0.254
```

=====

3.
Compound: ReAgTe2
Source: Alexandria
Functional: PBE
Structure: optimized geometry

Computed properties:
Energy above the most stable polymorph in this dataset (kcal/mol of atoms): 10.96
ΔE_f (raw) (eV/atom): 0.79
Electronic total energy (eV/atom): -4.606

The structure in CIF format:
```
data_ReAgTe2
_cell_length_a 3.0420
_cell_length_b 3.0420
_cell_length_c 34.5667
_cell_angle_alpha 90.00
_cell_angle_beta 90.00
_cell_angle_gamma 120.00
_space_group_name_H-M_alt 'R -3 m'
_space_group_IT_number 166
_space_group_name_Hall '-R 3 2"'
loop_
_atom_site_label
_atom_site_fract_x
_atom_site_fract_y
_atom_site_fract_z
Re1 0.0000 0.0000 0.0000
Ag1 0.0000 0.0000 0.5000
Te1 0.0000 0.0000 0.0770
```

=====

4.
Compound: Pm6DyHo2
Source: Alexandria
Functional: PBE
Structure: optimized geometry

Computed properties:
E_form (kJ/mol of formula units): 113
Energy above the most stable polymorph in this dataset (kcal/mol of atoms): 1.05
Electronic total energy (eV/atom): -4.566

The structure in CIF format:
```
data_Pm6DyHo2
_cell_length_a 9.373
_cell_length_b 17.638
_cell_length_c 3.651
_cell_angle_alpha 90.00
_cell_angle_beta 90.00
_cell_angle_gamma 90.00
_space_group_name_H-M_alt 'C m m m'
_space_group_IT_number 65
_space_group_name_Hall '-C 2 2'
loop_
_atom_site_label
_atom_site_fract_x
_atom_site_fract_y
_atom_site_fract_z
Pm1 0.176 0.165 0.000
Pm2 0.184 0.000 0.500
Dy1 0.000 0.500 0.000
Ho1 0.000 0.322 0.500
```

=====

5.
Compound: Ac6PdPt3Rh2
Source: Alexandria
Functional: PBE
Structure: optimized geometry

Computed properties:
E_form (kJ/mol of formula units): -1062
Electronic total energy (eV/atom): -6.139

The structure in CIF format:
```
data_Ac6PdPt3Rh2
_cell_length_a 18.996
_cell_length_b 4.354
_cell_length_c 8.744
_cell_angle_alpha 90.00
_cell_angle_beta 103.34
_cell_angle_gamma 90.00
_space_group_name_H-M_alt 'C 1 2/m 1'
_space_group_IT_number 12
loop_
_space_group_symop_operation_xyz
'x,y,z'
'-x,-y,-z'
'-x,y,-z'
'x,-y,z'
'x+1/2,y+1/2,z'
'-x+1/2,-y+1/2,-z'
'-x+1/2,y+1/2,-z'
'x+1/2,-y+1/2,z'
loop_
_atom_site_label
_atom_site_fract_x
_atom_site_fract_y
_atom_site_fract_z
Ac1 0.003 0.000 0.255
Ac2 0.169 0.500 0.090
Ac3 0.169 0.500 0.579
Pd1 0.000 0.500 0.000
Pt1 0.000 0.500 0.500
Pt2 0.164 0.000 0.834
Rh1 0.165 0.000 0.330
```

=====

6.
Compound: La2LuPu
Source: Alexandria
Functional: PBE
Structure: optimized geometry

Computed properties:
E_form (kJ/mol of formula units): 73
Energy above the most stable polymorph in this dataset (kcal/mol of atoms): 1.11
Electronic total energy (eV/atom): -6.989

The structure in CIF format:
```
data_La2LuPu
_cell_length_a 8.062
_cell_length_b 8.062
_cell_length_c 8.062
_cell_angle_alpha 90.00
_cell_angle_beta 90.00
_cell_angle_gamma 90.00
_space_group_name_H-M_alt 'F m -3 m'
_space_group_IT_number 225
_space_group_name_Hall '-F 4 2 3'
loop_
_atom_site_label
_atom_site_fract_x
_atom_site_fract_y
_atom_site_fract_z
La1 0.250 0.250 0.250
Lu1 0.000 0.000 0.000
Pu1 0.000 0.000 0.500
```

=====

7.
Compound: SmY7In4
Source: Alexandria
Functional: PBE
Structure: optimized geometry

Computed properties:
E_form (kJ/mol of formula units): -157
Electronic total energy (eV/atom): -5.212

The structure in CIF format:
```
data_SmY7In4
_cell_length_a 14.486
_cell_length_b 5.653
_cell_length_c 10.637
_cell_angle_alpha 90.00
_cell_angle_beta 124.05
_cell_angle_gamma 90.00
_space_group_name_H-M_alt 'C 1 2/m 1'
_space_group_IT_number 12
loop_
_space_group_symop_operation_xyz
'x,y,z'
'-x,-y,-z'
'-x,y,-z'
'x,-y,z'
'x+1/2,y+1/2,z'
'-x+1/2,-y+1/2,-z'
'-x+1/2,y+1/2,-z'
'x+1/2,-y+1/2,z'
loop_
_atom_site_label
_atom_site_fract_x
_atom_site_fract_y
_atom_site_fract_z
Sm1 0.000 0.000 0.000
Y1 0.000 0.500 0.000
Y2 0.063 0.000 0.392
Y3 0.212 0.000 0.877
Y4 0.212 0.500 0.651
In1 0.062 0.500 0.763
In2 0.182 0.500 0.333
```

=====

8.
Compound: YMn3In
Source: Alexandria
Functional: PBE
Structure: optimized geometry

Computed properties:
E_form (kJ/mol of formula units): 703
Energy above the most stable polymorph in this dataset (kcal/mol of atoms): 12.51
Electronic total energy (eV/atom): -5.885

The structure in CIF format:
```
data_YMn3In
_cell_length_a 4.997
_cell_length_b 4.997
_cell_length_c 4.997
_cell_angle_alpha 90.00
_cell_angle_beta 90.00
_cell_angle_gamma 90.00
_space_group_name_H-M_alt 'P m -3 m'
_space_group_IT_number 221
_space_group_name_Hall '-P 4 2 3'
loop_
_atom_site_label
_atom_site_fract_x
_atom_site_fract_y
_atom_site_fract_z
Y1 0.000 0.000 0.000
Mn1 0.000 0.000 0.500
In1 0.500 0.500 0.500
```

=====

9.
Compound: LiAg2Cl3
Source: Alexandria
Functional: PBE
Structure: optimized geometry

Computed properties:
Energy above the most stable polymorph in this dataset (kcal/mol of atoms): 0.00
ΔE_f (raw) (eV/atom): -0.90
Electronic total energy (eV/atom): -3.097

The structure in CIF format:
```
data_LiAg2Cl3
_cell_length_a 12.458
_cell_length_b 7.215
_cell_length_c 6.731
_cell_angle_alpha 90.00
_cell_angle_beta 90.00
_cell_angle_gamma 90.00
_space_group_name_H-M_alt 'C m c 21'
_space_group_IT_number 36
loop_
_space_group_symop_operation_xyz
'x,y,z'
'-x,-y,z+1/2'
'-x,y,z'
'x,-y,z+1/2'
'x+1/2,y+1/2,z'
'-x+1/2,-y+1/2,z+1/2'
'-x+1/2,y+1/2,z'
'x+1/2,-y+1/2,z+1/2'
loop_
_atom_site_label
_atom_site_fract_x
_atom_site_fract_y
_atom_site_fract_z
Li1 0.000 0.162 0.000
Ag1 0.162 0.329 0.496
Cl1 0.000 0.141 0.355
Cl2 0.156 0.323 0.887
```

=====

10.
Compound: KTc2Ir
Source: Alexandria
Functional: PBE
Structure: optimized geometry

Computed properties:
E_form (kJ/mol of formula units): 343
Energy above the most stable polymorph in this dataset (kcal/mol of atoms): 6.63
Electronic total energy (eV/atom): -6.783

The structure in CIF format:
```
data_KTc2Ir
_cell_length_a 2.681
_cell_length_b 5.162
_cell_length_c 10.725
_cell_angle_alpha 90.00
_cell_angle_beta 90.00
_cell_angle_gamma 90.00
_space_group_name_H-M_alt 'I m m m'
_space_group_IT_number 71
_space_group_name_Hall '-I 2 2'
loop_
_atom_site_label
_atom_site_fract_x
_atom_site_fract_y
_atom_site_fract_z
K1 0.000 0.000 0.000
Tc1 0.000 0.500 0.208
Ir1 0.000 0.000 0.500
```

=====

11.
Compound: Cs2GdCl5
Source: Alexandria
Functional: PBE
Structure: optimized geometry

Computed properties:
ΔE_f (raw) (eV/atom): -2.20
Electronic total energy (eV/atom): -5.325

The structure in CIF format:
```
data_Cs2GdCl5
_cell_length_a 9.875
_cell_length_b 7.623
_cell_length_c 15.536
_cell_angle_alpha 90.00
_cell_angle_beta 90.00
_cell_angle_gamma 90.00
_space_group_name_H-M_alt 'P n m a'
_space_group_IT_number 62
loop_
_space_group_symop_operation_xyz
'x,y,z'
'-x,-y,-z'
'-x+1/2,-y,z+1/2'
'x+1/2,y,-z+1/2'
'x+1/2,-y+1/2,-z+1/2'
'-x+1/2,y+1/2,z+1/2'
'-x,y+1/2,-z'
'x,-y+1/2,z'
loop_
_atom_site_label
_atom_site_fract_x
_atom_site_fract_y
_atom_site_fract_z
Cs1 0.027 0.250 0.212
Cs2 0.166 0.750 0.414
Gd1 0.181 0.750 0.063
Cl1 0.000 0.000 0.000
Cl2 0.026 0.750 0.201
Cl3 0.162 0.504 0.615
Cl4 0.218 0.250 0.403
```

=====

12.
Compound: Pr2SiCl
Source: Alexandria
Functional: PBE
Structure: optimized geometry

Computed properties:
Energy above the most stable polymorph in this dataset (kcal/mol of atoms): 0.00
ΔE_f (raw) (eV/atom): -1.19
Electronic total energy (eV/atom): -5.393

The structure in CIF format:
```
data_Pr2SiCl
_cell_length_a 4.2747
_cell_length_b 4.2747
_cell_length_c 21.1718
_cell_angle_alpha 90.00
_cell_angle_beta 90.00
_cell_angle_gamma 120.00
_space_group_name_H-M_alt 'R -3 m'
_space_group_IT_number 166
_space_group_name_Hall '-R 3 2"'
loop_
_atom_site_label
_atom_site_fract_x
_atom_site_fract_y
_atom_site_fract_z
Pr1 0.0000 0.0000 0.2414
Si1 0.0000 0.0000 0.5000
Cl1 0.0000 0.0000 0.0000
```

=====

13.
Compound: SrZrIN2
Source: Alexandria
Functional: PBE
Structure: optimized geometry

Computed properties:
Energy above the most stable polymorph in this dataset (kcal/mol of atoms): 0.00
ΔE_f (raw) (eV/atom): -0.32
Electronic total energy (eV/atom): -6.010

The structure in CIF format:
```
data_SrZrIN2
_cell_length_a 4.409
_cell_length_b 4.409
_cell_length_c 5.731
_cell_angle_alpha 90.00
_cell_angle_beta 90.00
_cell_angle_gamma 90.00
_space_group_name_H-M_alt 'P 4/m m m'
_space_group_IT_number 123
_space_group_name_Hall '-P 4 2'
loop_
_atom_site_label
_atom_site_fract_x
_atom_site_fract_y
_atom_site_fract_z
Sr1 0.000 0.000 0.000
Zr1 0.500 0.500 0.500
I1 0.500 0.500 0.000
N1 0.000 0.500 0.500
```

=====

14.
Compound: ZrGaCu3
Source: Alexandria
Functional: PBE
Structure: optimized geometry

Computed properties:
E_form (kJ/mol of formula units): -95
Energy above the most stable polymorph in this dataset (kcal/mol of atoms): 0.00
Electronic total energy (eV/atom): -4.969

The structure in CIF format:
```
data_ZrGaCu3
_cell_length_a 5.774
_cell_length_b 4.115
_cell_length_c 6.689
_cell_angle_alpha 90.00
_cell_angle_beta 110.73
_cell_angle_gamma 90.00
_space_group_name_H-M_alt 'P 1 21/m 1'
_space_group_IT_number 11
loop_
_space_group_symop_operation_xyz
'x,y,z'
'-x,-y,-z'
'-x,y+1/2,-z'
'x,-y+1/2,z'
loop_
_atom_site_label
_atom_site_fract_x
_atom_site_fract_y
_atom_site_fract_z
Zr1 0.168 0.250 0.195
Ga1 0.206 0.750 0.568
Cu1 0.164 0.250 0.777
Cu2 0.362 0.750 0.981
Cu3 0.498 0.250 0.622
```

=====

15.
Compound: HoLuOs2
Source: Alexandria
Functional: PBE
Structure: optimized geometry

Computed properties:
E_form (kJ/mol of formula units): -46
Electronic total energy (eV/atom): -8.009

The structure in CIF format:
```
data_HoLuOs2
_cell_length_a 4.758
_cell_length_b 4.758
_cell_length_c 3.371
_cell_angle_alpha 90.00
_cell_angle_beta 90.00
_cell_angle_gamma 90.00
_space_group_name_H-M_alt 'P 4/m m m'
_space_group_IT_number 123
_space_group_name_Hall '-P 4 2'
loop_
_atom_site_label
_atom_site_fract_x
_atom_site_fract_y
_atom_site_fract_z
Ho1 0.000 0.000 0.000
Lu1 0.500 0.500 0.000
Os1 0.000 0.500 0.500
```